A plane-wave DFT calculation with GGA-PBEsol was carried out for crystalline CrCu3Te at its relaxed geometry.

Values from the calculation:
The calculation puts the raw total energy at -4.15 eV per atom. The crystal system is cubic.

Cell lengths 4.7621, 4.7621, 4.7621 Å; angles 90.00, 90.00, 90.00 degrees
Closest atoms and distances in Å follow each position.
Space group Pm-3m (No. 221)
Asymmetric unit:
Cr 0.0000 0.0000 0.0000 (multiplicity 1)  12 Cu 3.37
Cu 0.0000 0.5000 0.5000 (multiplicity 3)  2 Te 2.38
Te 0.5000 0.5000 0.5000 (multiplicity 1)  6 Cu 2.38